AcDyMg4: optimized geometry, PBE.

Cell and atoms, written as POSCAR:
```
AcDyMg4
1.0
6.194 0.000 0.000
3.097 5.364 0.000
3.097 1.788 5.057
Ac Mg Dy
1 4 1
direct
0.250 0.250 0.250
0.626 0.626 0.123
0.626 0.123 0.626
0.626 0.626 0.626
0.123 0.626 0.626
0.000 0.000 0.000
```

Properties
Volume in Å³ per atom: 28.01
Energy relative to the elements in kJ/mol of formula units: -50.2
E in eV for the cell shown: -15.6

---

Ac6DyMg: optimized geometry, PBE.

Cell and atoms, written as POSCAR:
```
Ac6DyMg
1.0
5.355 0.000 1.612
-0.486 5.333 1.613
-0.421 -0.463 11.098
Ac Dy Mg
6 1 1
direct
0.750 0.750 0.500
0.615 0.115 0.770
0.115 0.615 0.770
0.385 0.885 0.230
0.250 0.250 0.500
0.885 0.385 0.230
0.500 0.500 0.000
0.000 0.000 0.000
```

Properties
Volume in Å³ per atom: 40.61
Energy relative to the elements in kJ/mol of formula units: 24.0
E in eV for the cell shown: -30.6